PBEsol YTiCo2Pb, optimized geometry; total magnetization = 1.85 μB/f.u.; crystal system = tetragonal; DOS at the Fermi energy = 5.3 states/eV per cell; total energy = -5.448 eV/atom
1.0
4.438 0.000 0.000
0.000 4.438 0.000
0.000 0.000 5.565
Pb Y Co Ti
1 1 2 1
Cartesian
0.000 0.000 2.783
0.000 0.000 0.000
0.000 2.219 0.000
2.219 0.000 0.000
2.219 2.219 2.783

PBEsol Tl2CoPb, optimized geometry; total magnetization = 1.53 μB/f.u.; crystal system = tetragonal; DOS at the Fermi energy = 6.5 states/eV per cell; total energy = -3.633 eV/atom
1.0
-1.514 -1.442 -3.777
-1.177 -3.701 1.885
-4.383 1.916 1.025
Co Pb Tl
1 1 2
Cartesian
-3.537 -1.614 -0.433
-2.192 0.958 0.513
-0.588 -1.851 0.943
-0.757 -0.721 -1.889

PBEsol TlCoPb2, optimized geometry; total magnetization = 0.98 μB/f.u.; crystal system = orthorhombic; DOS at the Fermi energy = 2.0 states/eV per cell; total energy = -4.342 eV/atom
1.0
3.263 0.099 0.000
-0.114 3.263 0.000
0.000 0.000 8.607
Co Pb Tl
1 2 1
Cartesian
1.575 1.681 0.000
0.000 0.000 1.623
0.000 0.000 6.984
1.575 1.681 4.304

PBEsol CoPbW2, optimized geometry; total magnetization = 0.00 μB/f.u.; crystal system = tetragonal; DOS at the Fermi energy = 2.4 states/eV per cell; total energy = -9.178 eV/atom
1.0
-3.529 -0.430 1.316
-0.689 -2.581 -2.690
3.492 -1.653 3.363
Co Pb W
1 1 2
Cartesian
-2.109 -1.505 -0.687
0.000 0.000 0.000
-1.073 -1.794 1.996
0.347 -2.870 -0.007

PBEsol CoPbW2, optimized geometry; total magnetization = 0.99 μB/f.u.; crystal system = monoclinic; DOS at the Fermi energy = 3.9 states/eV per cell; total energy = -8.931 eV/atom
1.0
2.833 -0.005 0.000
-1.052 5.000 0.000
-0.891 -2.498 4.575
Co Pb W
1 1 2
Cartesian
1.416 -0.002 0.000
-0.526 2.500 0.000
-0.445 -1.249 2.288
0.445 1.249 2.288

PBEsol CoPbW2, optimized geometry; total magnetization = 0.35 μB/f.u.; crystal system = trigonal; DOS at the Fermi energy = 4.0 states/eV per cell; total energy = -8.993 eV/atom
1.0
-0.056 0.387 2.853
-1.366 -1.895 1.683
7.260 -5.360 2.322
Co Pb W
1 1 2
Cartesian
2.919 -3.434 3.429
0.000 0.000 0.000
1.730 -1.887 1.743
4.107 -4.981 5.115

PBEsol Zn2CoPbW, optimized geometry; total magnetization = 0.74 μB/f.u.; crystal system = tetragonal; DOS at the Fermi energy = 5.3 states/eV per cell; total energy = -4.584 eV/atom
1.0
-4.035 1.166 -1.163
-0.280 -3.934 -2.971
-1.845 -2.676 3.717
Pb Zn Co W
1 2 1 1
Cartesian
-3.080 -2.722 -0.209
-0.922 -1.338 1.859
-0.140 -1.967 -1.486
-2.018 0.583 -0.582
0.000 0.000 0.000

PBEsol YCo3Pb, optimized geometry; total magnetization = 3.30 μB/f.u.; crystal system = cubic; DOS at the Fermi energy = 9.6 states/eV per cell; total energy = -5.747 eV/atom
1.0
4.693 0.000 0.000
0.000 4.693 0.000
0.000 0.000 4.693
Pb Y Co
1 1 3
Cartesian
0.000 0.000 0.000
2.346 2.346 2.346
0.000 2.346 0.000
0.000 0.000 2.346
2.346 0.000 0.000

PBEsol Y3CoPb, optimized geometry; total magnetization = 0.00 μB/f.u.; crystal system = hexagonal; DOS at the Fermi energy = 6.0 states/eV per cell; total energy = -6.824 eV/atom
1.0
-1.314 3.083 -4.196
-5.288 -4.741 -1.828
-1.473 5.561 4.548
Y Pb Co
6 2 2
Cartesian
-4.992 2.273 1.516
-5.609 -0.635 -3.864
-2.466 4.538 2.389
-6.313 2.021 -1.692
-3.083 1.629 -2.991
-1.762 1.882 0.217
-4.345 -0.536 -0.752
-3.730 4.439 -0.724
-0.657 1.541 -2.098
0.000 0.000 0.000

PBEsol ZnCo2Pb, optimized geometry; total magnetization = 1.72 μB/f.u.; crystal system = monoclinic; DOS at the Fermi energy = 4.6 states/eV per cell; total energy = -4.713 eV/atom
1.0
2.903 -0.004 -0.007
-1.090 4.738 0.006
-1.090 -2.012 4.290
Pb Zn Co
1 1 2
Cartesian
0.361 1.361 2.144
1.451 -0.002 -0.004
-0.545 -1.006 2.145
-0.545 2.369 0.003

PBEsol ZnCoPb2, optimized geometry; total magnetization = 1.18 μB/f.u.; crystal system = monoclinic; DOS at the Fermi energy = 4.2 states/eV per cell; total energy = -3.836 eV/atom
1.0
3.359 0.108 0.111
-0.204 4.846 0.080
-0.204 -0.077 4.846
Co Pb Zn
1 2 1
Cartesian
1.476 2.438 2.519
-0.102 2.423 0.040
-0.102 -0.039 2.423
1.680 0.054 0.056

PBEsol ZnCoPb3, optimized geometry; total magnetization = 0.53 μB/f.u.; crystal system = cubic; DOS at the Fermi energy = 4.3 states/eV per cell; total energy = -3.917 eV/atom
1.0
5.003 0.000 0.000
0.000 5.003 0.000
0.000 0.000 5.003
Pb Zn Co
3 1 1
Cartesian
0.000 2.502 0.000
0.000 0.000 2.502
2.502 0.000 0.000
2.502 2.502 2.502
0.000 0.000 0.000

The lowest total energy belongs to which entry? number 4

What is the DOS at the Fermi energy in the fourth record? 2.4 states/eV per cell